Entry 1:
Entry from the Alexandria database: TbPm2Dy5Y after structural relaxation (PBE-GGA).

The density of states at the Fermi level comes out at 24.13 states/eV per cell. Its formation energy is 273 meV/atom. Its electronic total energy is -82.3 eV for the cell shown.

Cell lengths 9.949, 9.949, 9.949 Å; angles 128.58, 128.58, 75.69 degrees
Element x y z (fractional)
Tb1 0.250 0.250 0.000
Tb2 0.750 0.750 0.000
Pm1 0.118 0.618 0.735
Pm2 0.382 0.118 0.500
Pm3 0.618 0.882 0.500
Pm4 0.882 0.382 0.265
Dy1 0.000 0.000 0.000
Dy2 0.073 0.148 0.500
Dy3 0.148 0.648 0.076
Dy4 0.352 0.427 0.500
Dy5 0.427 0.927 0.076
Dy6 0.500 0.500 0.000
Dy7 0.573 0.073 0.924
Dy8 0.648 0.573 0.500
Dy9 0.852 0.352 0.924
Dy10 0.927 0.852 0.500
Y1 0.250 0.750 0.500
Y2 0.750 0.250 0.500


Entry 2:
Entry from the Alexandria database: Tb2Pm5DyY after structural relaxation (PBE-GGA).

The density of states at the Fermi level comes out at 28.47 states/eV per cell. Its formation energy is 142 meV/atom. Its electronic total energy is -85.6 eV for the cell shown.

Cell lengths 10.514, 10.514, 10.718 Å; angles 90.00, 90.00, 148.76 degrees
Element x y z (fractional)
Tb1 0.112 0.888 0.500
Tb2 0.115 0.885 0.079
Tb3 0.885 0.115 0.579
Tb4 0.888 0.112 0.000
Pm1 0.017 0.983 0.783
Pm2 0.281 0.719 0.075
Pm3 0.298 0.702 0.471
Pm4 0.388 0.612 0.786
Pm5 0.481 0.519 0.506
Pm6 0.519 0.481 0.006
Pm7 0.612 0.388 0.286
Pm8 0.702 0.298 0.971
Pm9 0.719 0.281 0.575
Pm10 0.983 0.017 0.283
Dy1 0.410 0.590 0.224
Dy2 0.590 0.410 0.724
Y1 0.200 0.800 0.774
Y2 0.800 0.200 0.274


Entry 3:
Entry from the Alexandria database: Tb2PmDy3Y6 after structural relaxation (PBE-GGA).

The density of states at the Fermi level comes out at 16.84 states/eV per cell. Its formation energy is 19 meV/atom. Its electronic total energy is -66.4 eV for the cell shown.

Cell lengths 6.179, 6.179, 11.821 Å; angles 94.98, 94.98, 119.95 degrees
Element x y z (fractional)
Tb1 0.167 0.833 0.000
Tb2 0.833 0.167 0.000
Pm1 0.500 0.500 0.000
Dy1 0.000 0.000 0.500
Dy2 0.333 0.667 0.500
Dy3 0.667 0.333 0.500
Y1 0.082 0.416 0.749
Y2 0.250 0.250 0.251
Y3 0.416 0.082 0.749
Y4 0.584 0.918 0.251
Y5 0.750 0.750 0.749
Y6 0.918 0.584 0.251


Entry 4:
Entry from the Alexandria database: Tb4Pm2DyY2 after structural relaxation (PBE-GGA).

The density of states at the Fermi level comes out at 12.01 states/eV per cell. Its formation energy is -2 meV/atom. Its electronic total energy is -45.6 eV for the cell shown.

Cell lengths 9.550, 9.550, 9.603 Å; angles 115.22, 115.22, 21.81 degrees
Element x y z (fractional)
Tb1 0.019 0.019 0.333
Tb2 0.315 0.315 0.665
Tb3 0.685 0.685 0.335
Tb4 0.981 0.981 0.667
Pm1 0.166 0.166 0.000
Pm2 0.834 0.834 0.000
Dy1 0.500 0.500 0.000
Y1 0.353 0.353 0.336
Y2 0.647 0.647 0.664